one:
The following is a DFT calculation (PBE) of a geometry-optimized Li4Mg5Zn2 structure.

Calculated values
- D(E_F): 3.841 states/eV/f.u.
- Space-group type: No. 12

The structure in CIF format:
```
data_Li4Mg5Zn2
_space_group_name_H-M_alt 'P 1'
_space_group_IT_number 1
_cell_length_a 10.342
_cell_length_b 10.342
_cell_length_c 7.243
_cell_angle_alpha 94.33
_cell_angle_beta 94.33
_cell_angle_gamma 16.59
loop_
_space_group_symop_operation_xyz
'x,y,z'
loop_
_atom_site_label
_atom_site_fract_x
_atom_site_fract_y
_atom_site_fract_z
Li1 0.043 0.043 0.353
Li2 0.410 0.410 0.295
Li3 0.590 0.590 0.705
Li4 0.957 0.957 0.647
Mg1 0.138 0.138 0.054
Mg2 0.184 0.184 0.479
Mg3 0.500 0.500 0.000
Mg4 0.816 0.816 0.521
Mg5 0.862 0.862 0.946
Zn1 0.276 0.276 0.176
Zn2 0.724 0.724 0.824
```

=====

two:
The following is a DFT calculation (PBE) of a geometry-optimized Li4Mg5Zn2 structure.

Calculated values
- D(E_F): 3.195 states/eV/f.u.
- Space-group type: No. 12

The structure in CIF format:
```
data_Li4Mg5Zn2
_space_group_name_H-M_alt 'P 1'
_space_group_IT_number 1
_cell_length_a 8.338
_cell_length_b 8.338
_cell_length_c 5.406
_cell_angle_alpha 91.81
_cell_angle_beta 91.81
_cell_angle_gamma 33.46
loop_
_space_group_symop_operation_xyz
'x,y,z'
loop_
_atom_site_label
_atom_site_fract_x
_atom_site_fract_y
_atom_site_fract_z
Li1 0.051 0.051 0.298
Li2 0.327 0.327 0.873
Li3 0.673 0.673 0.127
Li4 0.949 0.949 0.702
Mg1 0.135 0.135 0.812
Mg2 0.241 0.241 0.332
Mg3 0.500 0.500 0.000
Mg4 0.759 0.759 0.668
Mg5 0.865 0.865 0.188
Zn1 0.418 0.418 0.456
Zn2 0.582 0.582 0.544
```

=====

Stability, highest: two

=====

one:
The following is a DFT calculation (PBE) of a geometry-optimized Li4Mg3Zn structure.

Calculated values
- D(E_F): 3.321 states/eV/f.u.
- Space-group type: No. 12

The structure in CIF format:
```
data_Li4Mg3Zn
_space_group_name_H-M_alt 'P 1'
_space_group_IT_number 1
_cell_length_a 18.976
_cell_length_b 3.691
_cell_length_c 4.523
_cell_angle_alpha 90.00
_cell_angle_beta 103.29
_cell_angle_gamma 90.00
loop_
_space_group_symop_operation_xyz
'x,y,z'
loop_
_atom_site_label
_atom_site_fract_x
_atom_site_fract_y
_atom_site_fract_z
Li1 0.122 0.000 0.122
Li2 0.246 0.500 0.247
Li3 0.254 0.000 0.753
Li4 0.378 0.500 0.878
Li5 0.622 0.500 0.122
Li6 0.746 0.000 0.247
Li7 0.754 0.500 0.753
Li8 0.878 0.000 0.878
Mg1 0.000 0.500 0.000
Mg2 0.122 0.500 0.620
Mg3 0.378 0.000 0.380
Mg4 0.500 0.000 0.000
Mg5 0.622 0.000 0.620
Mg6 0.878 0.500 0.380
Zn1 0.000 0.000 0.500
Zn2 0.500 0.500 0.500
```

=====

two:
The following is a DFT calculation (PBE) of a geometry-optimized Li4Mg3Zn structure.

Calculated values
- D(E_F): 3.832 states/eV/f.u.
- Space-group type: No. 123

The structure in CIF format:
```
data_Li4Mg3Zn
_space_group_name_H-M_alt 'P 1'
_space_group_IT_number 1
_cell_length_a 3.333
_cell_length_b 3.333
_cell_length_c 13.492
_cell_angle_alpha 90.00
_cell_angle_beta 90.00
_cell_angle_gamma 90.00
loop_
_space_group_symop_operation_xyz
'x,y,z'
loop_
_atom_site_label
_atom_site_fract_x
_atom_site_fract_y
_atom_site_fract_z
Li1 0.000 0.000 0.101
Li2 0.000 0.000 0.366
Li3 0.000 0.000 0.634
Li4 0.000 0.000 0.899
Mg1 0.500 0.500 0.232
Mg2 0.500 0.500 0.500
Mg3 0.500 0.500 0.768
Zn1 0.500 0.500 0.000
```

=====

Stability, highest: two

=====

one:
The following is a DFT calculation (PBE) of a geometry-optimized Li3MgZn4 structure.

Calculated values
- D(E_F): 3.131 states/eV/f.u.
- Space-group type: No. 51

The structure in CIF format:
```
data_Li3MgZn4
_space_group_name_H-M_alt 'P 1'
_space_group_IT_number 1
_cell_length_a 9.081
_cell_length_b 5.751
_cell_length_c 4.862
_cell_angle_alpha 90.00
_cell_angle_beta 90.00
_cell_angle_gamma 90.00
loop_
_space_group_symop_operation_xyz
'x,y,z'
loop_
_atom_site_label
_atom_site_fract_x
_atom_site_fract_y
_atom_site_fract_z
Li1 0.000 0.000 0.000
Li2 0.250 0.000 0.327
Li3 0.250 0.500 0.350
Li4 0.500 0.000 0.000
Li5 0.750 0.000 0.673
Li6 0.750 0.500 0.650
Mg1 0.000 0.500 0.000
Mg2 0.500 0.500 0.000
Zn1 0.000 0.240 0.500
Zn2 0.000 0.760 0.500
Zn3 0.250 0.237 0.820
Zn4 0.250 0.763 0.820
Zn5 0.500 0.240 0.500
Zn6 0.500 0.760 0.500
Zn7 0.750 0.237 0.180
Zn8 0.750 0.763 0.180
```

=====

two:
The following is a DFT calculation (PBE) of a geometry-optimized Li3MgZn4 structure.

Calculated values
- D(E_F): 2.003 states/eV/f.u.
- Space-group type: No. 44

The structure in CIF format:
```
data_Li3MgZn4
_space_group_name_H-M_alt 'P 1'
_space_group_IT_number 1
_cell_length_a 5.284
_cell_length_b 9.149
_cell_length_c 5.299
_cell_angle_alpha 90.00
_cell_angle_beta 90.00
_cell_angle_gamma 90.00
loop_
_space_group_symop_operation_xyz
'x,y,z'
loop_
_atom_site_label
_atom_site_fract_x
_atom_site_fract_y
_atom_site_fract_z
Li1 0.000 0.000 0.000
Li2 0.000 0.241 0.753
Li3 0.000 0.759 0.753
Li4 0.500 0.259 0.253
Li5 0.500 0.500 0.500
Li6 0.500 0.741 0.253
Mg1 0.000 0.500 0.491
Mg2 0.500 0.000 0.991
Zn1 0.000 0.238 0.250
Zn2 0.000 0.762 0.250
Zn3 0.249 0.000 0.492
Zn4 0.251 0.500 0.992
Zn5 0.500 0.262 0.750
Zn6 0.500 0.738 0.750
Zn7 0.749 0.500 0.992
Zn8 0.751 0.000 0.492
```

=====

Stability, highest: one